The following is a PBE+U calculation of crystalline CsNpFeF6 at its relaxed geometry, from the Alexandria database.

Fermi-level density of states in states/eV per cell: 16.75
Crystal system: orthorhombic
Uncorrected energy in eV per atom: -6.354

Cell lengths 7.702, 7.702, 7.702 Å; angles 120.27, 117.38, 92.07 degrees
Atoms (fractional coordinates):
Cs 0.342 0.092 0.250
Cs 0.658 0.908 0.750
Np 0.000 0.500 0.500
Np 0.500 0.500 0.000
Fe 0.000 0.000 0.500
Fe 0.000 0.500 0.000
F 0.051 0.352 0.174
F 0.051 0.877 0.699
F 0.088 0.338 0.750
F 0.322 0.123 0.674
F 0.322 0.648 0.199
F 0.362 0.612 0.750
F 0.638 0.388 0.250
F 0.678 0.352 0.801
F 0.678 0.877 0.326
F 0.912 0.662 0.250
F 0.949 0.123 0.301
F 0.949 0.648 0.826